No. 1
An optimized crystal structure of LaTbBC2, computed with GGA-PBE.

Lattice parameters (Å, degrees): 3.7986 3.7986 6.0935 107.50 107.50 89.99
With the nearest neighbours (Å) after each atom.
Atoms (fractional coordinates):
La  0.0000  0.0000  0.0000  5 C 2.52-2.69
Tb  0.7035  0.7035  0.4202  1 C 2.34
B  0.3612  0.3612  0.7266  2 C 1.48-1.49
C  0.2223  0.2223  0.4562  1 B 1.49
C  0.4964  0.4964  0.9955  1 B 1.48

Properties
theoretical density	6.94	g/cm3
space group	Cm, No. 8
E_tot	-7.27	eV/atom



No. 2
An optimized crystal structure of NpTcPd, computed with GGA-PBE.

Lattice parameters (Å, degrees): 4.4201 4.4201 4.4201 60.00 60.00 60.00
With the nearest neighbours (Å) after each atom.
Atoms (fractional coordinates):
Np  0.0000  0.0000  0.0000  4 Pd 2.71
Tc  0.5000  0.5000  0.5000  4 Pd 2.71
Pd  0.2500  0.2500  0.2500  4 Tc 2.71, 4 Np 2.71

Properties
theoretical density	12.00	g/cm3
space group	F-43m, No. 216
E_tot	-8.82	eV/atom



No. 3
An optimized crystal structure of HoPaPO, computed with GGA-PBE.

Lattice parameters (Å, degrees): 4.1499 4.1499 8.9549 90.00 90.00 90.00
With the nearest neighbours (Å) after each atom.
Atoms (fractional coordinates):
Ho  0.2500  0.7500  0.0000  4 P 2.83, 4 Ho 2.93
Ho  0.7500  0.2500  0.0000  4 P 2.83, 4 Ho 2.93
Pa  0.2500  0.2500  0.3605  4 O 2.42
Pa  0.7500  0.7500  0.6395  4 O 2.42
P  0.2500  0.2500  0.7844  4 Ho 2.83
P  0.7500  0.7500  0.2156  4 Ho 2.83
O  0.2500  0.7500  0.5000  4 Pa 2.42
O  0.7500  0.2500  0.5000  4 Pa 2.42

Properties
theoretical density	9.54	g/cm3
space group	P4/nmm, No. 129
polymorph energy (0 for the lowest one)	2.4	kJ/mol of atoms



No. 4
An optimized crystal structure of BeTcPd2, computed with GGA-PBE.

Lattice parameters (Å, degrees): 4.2449 4.2449 4.2449 60.00 60.00 60.00
With the nearest neighbours (Å) after each atom.
Atoms (fractional coordinates):
Be  0.0000  0.0000  0.0000  4 Tc 2.60, 4 Pd 2.60
Tc  0.7500  0.7500  0.7500  4 Be 2.60, 4 Pd 2.60
Pd  0.2500  0.2500  0.2500  4 Be 2.60, 4 Pd 2.60
Pd  0.5000  0.5000  0.5000  4 Tc 2.60, 4 Pd 2.60

Properties
theoretical density	9.82	g/cm3
space group	F-43m, No. 216
E_tot	-5.97	eV/atom



No. 5
An optimized crystal structure of Tm6InGa2, computed with GGA-PBE.

Lattice parameters (Å, degrees): 8.5136 8.5136 8.5136 112.28 112.06 104.20
With the nearest neighbours (Å) after each atom.
Atoms (fractional coordinates):
Tm  0.0235  0.8205  0.2030  3 Ga 2.84-3.04
Tm  0.2414  0.5392  0.2978  2 Ga 2.89-3.17, 1 In 3.17
Tm  0.2414  0.9436  0.7022  2 Ga 2.89-3.17, 1 In 3.17
Tm  0.2777  0.3157  0.5934  3 Ga 3.02-3.08, 1 In 3.17
Tm  0.2777  0.6843  0.9621  3 Ga 3.02-3.08, 1 In 3.17
Tm  0.3826  0.1795  0.2030  3 Ga 2.84-3.04
Tm  0.6174  0.8205  0.7970  3 Ga 2.84-3.04
Tm  0.7223  0.3157  0.0379  3 Ga 3.02-3.08, 1 In 3.17
Tm  0.7223  0.6843  0.4066  3 Ga 3.02-3.08, 1 In 3.17
Tm  0.7586  0.0564  0.2978  2 Ga 2.89-3.17, 1 In 3.17
Tm  0.7586  0.4608  0.7022  2 Ga 2.89-3.17, 1 In 3.17
Tm  0.9765  0.1795  0.7970  3 Ga 2.84-3.04
In  0.0000  0.5000  0.5000  8 Tm 3.17, 2 Ga 3.33
In  0.5000  0.0000  0.5000  12 Tm 3.32-3.67
Ga  0.0000  0.1491  0.1491  1 Ga 2.83, 8 Tm 2.89-3.08
Ga  0.0000  0.8509  0.8509  1 Ga 2.83, 8 Tm 2.89-3.08
Ga  0.3788  0.3788  0.0000  1 Ga 2.54
Ga  0.6212  0.6212  0.0000  1 Ga 2.54

Properties
theoretical density	8.92	g/cm3
space group	Immm, No. 71
E_tot	-4.39	eV/atom



No. 6
An optimized crystal structure of LiHfCd2, computed with GGA-PBE.

Lattice parameters (Å, degrees): 4.7404 4.7404 4.7404 60.00 60.00 60.00
With the nearest neighbours (Å) after each atom.
Atoms (fractional coordinates):
Li  0.0000  0.0000  0.0000  4 Cd 2.90, 4 Hf 2.90
Hf  0.2500  0.2500  0.2500  4 Cd 2.90, 4 Li 2.90
Cd  0.5000  0.5000  0.5000  4 Cd 2.90, 4 Hf 2.90
Cd  0.7500  0.7500  0.7500  4 Cd 2.90, 4 Li 2.90

Properties
theoretical density	9.04	g/cm3
space group	F-43m, No. 216
E_tot	-3.31	eV/atom



No. 7
An optimized crystal structure of LiNbAlCu, computed with GGA-PBE.

Lattice parameters (Å, degrees): 4.3341 4.3341 4.3341 60.00 60.00 60.00
With the nearest neighbours (Å) after each atom.
Atoms (fractional coordinates):
Li  0.0000  0.0000  0.0000  4 Nb 2.65, 4 Cu 2.65
Nb  0.2500  0.2500  0.2500  4 Li 2.65, 4 Al 2.65
Al  0.5000  0.5000  0.5000  4 Nb 2.65, 4 Cu 2.65
Cu  0.7500  0.7500  0.7500  4 Li 2.65, 4 Al 2.65

Properties
theoretical density	5.49	g/cm3
space group	F-43m, No. 216
polymorph energy (0 for the lowest one)	6.7	kJ/mol of atoms



No. 8
An optimized crystal structure of RbZnHg, computed with GGA-PBE.

Lattice parameters (Å, degrees): 5.5819 5.5819 5.5819 60.00 60.00 60.00
With the nearest neighbours (Å) after each atom.
Atoms (fractional coordinates):
Rb  0.0000  0.0000  0.0000  4 Hg 3.42
Zn  0.5000  0.5000  0.5000  4 Hg 3.42
Hg  0.2500  0.2500  0.2500  4 Zn 3.42, 4 Rb 3.42

Properties
theoretical density	4.75	g/cm3
space group	F-43m, No. 216
E_tot	-0.74	eV/atom



No. 9
An optimized crystal structure of BaNaNdS3, computed with GGA-PBE.

Lattice parameters (Å, degrees): 10.7302 4.3272 13.8875 90.00 90.00 90.00
With the nearest neighbours (Å) after each atom.
Atoms (fractional coordinates):
Ba  0.2456  0.2500  0.0046  7 S 3.16-3.53
Ba  0.2544  0.7500  0.5046  7 S 3.16-3.53
Ba  0.7456  0.2500  0.4954  7 S 3.16-3.53
Ba  0.7544  0.7500  0.9954  7 S 3.16-3.53
Na  0.2464  0.7500  0.7740  4 S 2.60
Na  0.2536  0.2500  0.2740  4 S 2.60
Na  0.7464  0.7500  0.7260  4 S 2.60
Na  0.7536  0.2500  0.2260  4 S 2.60
Nd  0.0033  0.7500  0.2515  6 S 2.89-2.91
Nd  0.4967  0.2500  0.7515  6 S 2.89-2.91
Nd  0.5033  0.7500  0.2485  6 S 2.89-2.91
Nd  0.9967  0.2500  0.7485  6 S 2.89-2.91
S  0.0488  0.7500  0.8826  1 Na 2.60, 2 Nd 2.91
S  0.0570  0.2500  0.3836  1 Na 2.60, 2 Nd 2.89
S  0.2474  0.2500  0.6701  2 Na 2.60, 2 Nd 2.90
S  0.2526  0.7500  0.1701  2 Na 2.60, 2 Nd 2.90
S  0.4430  0.7500  0.8836  1 Na 2.60, 2 Nd 2.89
S  0.4512  0.2500  0.3826  1 Na 2.60, 2 Nd 2.91
S  0.5488  0.7500  0.6174  1 Na 2.60, 2 Nd 2.91
S  0.5570  0.2500  0.1164  1 Na 2.60, 2 Nd 2.89
S  0.7474  0.2500  0.8299  2 Na 2.60, 2 Nd 2.90
S  0.7526  0.7500  0.3299  2 Na 2.60, 2 Nd 2.90
S  0.9430  0.7500  0.6164  1 Na 2.60, 2 Nd 2.89
S  0.9512  0.2500  0.1174  1 Na 2.60, 2 Nd 2.91

Properties
theoretical density	4.13	g/cm3
space group	Pnma, No. 62
E_tot	-5.15	eV/atom



No. 10
An optimized crystal structure of Pm2Be, computed with GGA-PBE.

Lattice parameters (Å, degrees): 6.2207 6.2207 6.2207 60.00 60.00 60.00
With the nearest neighbours (Å) after each atom.
Atoms (fractional coordinates):
Pm  0.0000  0.0000  0.0000  6 Pm 3.11
Pm  0.0000  0.0000  0.5000  6 Pm 3.11
Pm  0.0000  0.5000  0.0000  6 Pm 3.11
Pm  0.5000  0.0000  0.0000  6 Pm 3.11
Be  0.3750  0.3750  0.3750  12 Pm 3.65, 4 Be 3.81
Be  0.6250  0.6250  0.6250  12 Pm 3.65, 4 Be 3.81

Properties
theoretical density	5.83	g/cm3
space group	Fd-3m, No. 227
polymorph energy (0 for the lowest one)	0.0	kJ/mol of atoms



No. 11
An optimized crystal structure of PmSmCo, computed with GGA-PBE.

Lattice parameters (Å, degrees): 4.7140 4.7140 4.7140 60.00 60.00 60.00
With the nearest neighbours (Å) after each atom.
Atoms (fractional coordinates):
Pm  0.0000  0.0000  0.0000  4 Sm 2.89
Sm  0.7500  0.7500  0.7500  4 Pm 2.89, 4 Co 2.89
Co  0.5000  0.5000  0.5000  4 Sm 2.89

Properties
theoretical density	7.94	g/cm3
space group	F-43m, No. 216
polymorph energy (0 for the lowest one)	0.0	kJ/mol of atoms



No. 12
An optimized crystal structure of K3SmAs2S8, computed with GGA-PBE.

Lattice parameters (Å, degrees): 10.9045 10.9045 9.0110 102.85 102.85 122.38
With the nearest neighbours (Å) after each atom.
Atoms (fractional coordinates):
K  0.0000  0.0000  0.0000  4 S 3.16-3.29
K  0.0000  0.0000  0.5000  4 S 3.16-3.29
K  0.2403  0.7597  0.7500  8 S 3.25-3.53
K  0.4959  0.5041  0.7500  8 S 3.23-3.58
K  0.5041  0.4959  0.2500  8 S 3.23-3.58
K  0.7597  0.2403  0.2500  8 S 3.25-3.53
Sm  0.2571  0.7429  0.2500  8 S 2.84-3.11
Sm  0.7429  0.2571  0.7500  8 S 2.84-3.11
As  0.1577  0.4052  0.8974  4 S 2.15-2.20
As  0.4052  0.1577  0.3974  4 S 2.15-2.20
As  0.5948  0.8423  0.6026  4 S 2.15-2.20
As  0.8423  0.5948  0.1026  4 S 2.15-2.20
S  0.0044  0.3598  0.6543  1 As 2.20
S  0.0283  0.3734  0.0585  1 As 2.20
S  0.2339  0.2588  0.8718  1 As 2.15
S  0.2588  0.2339  0.3718  1 As 2.15
S  0.3424  0.6308  0.4787  1 As 2.20
S  0.3598  0.0044  0.1543  1 As 2.20
S  0.3692  0.6576  0.0213  1 As 2.20
S  0.3734  0.0283  0.5585  1 As 2.20
S  0.6266  0.9717  0.4415  1 As 2.20
S  0.6308  0.3424  0.9787  1 As 2.20
S  0.6402  0.9956  0.8457  1 As 2.20
S  0.6576  0.3692  0.5213  1 As 2.20
S  0.7412  0.7661  0.6282  1 As 2.15
S  0.7661  0.7412  0.1282  1 As 2.15
S  0.9717  0.6266  0.9415  1 As 2.20
S  0.9956  0.6402  0.3457  1 As 2.20

Properties
theoretical density	2.79	g/cm3
space group	C2/c, No. 15
E_tot	-4.51	eV/atom



Q: What is the formula in the eighth record?
A: RbZnHg